First-principles (GGA+U) data for a relaxed structure of CoHg2F, as listed in the Alexandria database.

Values from the calculation:
- SG = Fm-3m (225)
- crystal system = cubic
- offset from the most stable computed form (meV per atom) = 186
- final energy (hartree per atom) = -0.0710
- calculated volume (Å³/atom) = 18.46

Unit cell a=4.7092 b=4.7092 c=4.7092 alpha=60.00 beta=60.00 gamma=60.00
With the nearest neighbours (Å) after each atom.
Positions (direct):
1 Hg 0.7500 0.7500 0.7500  4 F 2.88, 4 Co 2.88
2 Hg 0.2500 0.2500 0.2500  4 F 2.88, 4 Co 2.88
3 F 0.0000 0.0000 0.0000  8 Hg 2.88
4 Co 0.5000 0.5000 0.5000  8 Hg 2.88